{
  "formula": "KS2NF",
  "functional": "PBE",
  "state": "relaxed",
  "lattice_angstrom": [[4.373, 0.000, 0.000], [0.000, 4.373, 0.000], [0.000, 0.000, 5.344]],
  "species": ["K", "S", "S", "N", "F"],
  "fractional_positions": [[0.000, 0.000, 0.000], [0.000, 0.500, 0.500], [0.500, 0.000, 0.500], [0.500, 0.500, 0.000], [0.500, 0.500, 0.500]],
  "raw_formation_energy_ev_per_atom": 0.84,
  "de_polymorph_mev_per_atom": 0
}

***

{
  "formula": "KScN2F",
  "functional": "PBE",
  "state": "relaxed",
  "lattice_angstrom": [[4.224, 0.000, 0.000], [0.000, 4.224, 0.000], [0.000, 0.000, 4.314]],
  "species": ["K", "Sc", "N", "N", "F"],
  "fractional_positions": [[0.000, 0.000, 0.000], [0.500, 0.500, 0.500], [0.000, 0.500, 0.000], [0.500, 0.000, 0.000], [0.000, 0.000, 0.500]],
  "raw_formation_energy_ev_per_atom": 0.98,
  "de_polymorph_mev_per_atom": 1701
}

***

{
  "formula": "KScN2F",
  "functional": "PBE",
  "state": "relaxed",
  "lattice_angstrom": [[4.394, 0.000, 0.000], [0.000, 4.394, 0.000], [0.000, 0.000, 4.235]],
  "species": ["K", "Sc", "N", "N", "F"],
  "fractional_positions": [[0.000, 0.000, 0.000], [0.500, 0.500, 0.500], [0.000, 0.500, 0.500], [0.500, 0.000, 0.500], [0.500, 0.500, 0.000]],
  "raw_formation_energy_ev_per_atom": -0.72,
  "de_polymorph_mev_per_atom": 0
}